DFT (GGA+U) results for a geometry-optimized Tl3CrF structure.

The structure in POSCAR format:
```
Tl3CrF
1.0
5.2139 0.0000 0.0000
0.0000 5.2139 0.0000
0.0000 0.0000 5.2139
Tl Cr F
3 1 1
Direct
0.0000 0.0000 0.5000
0.0000 0.5000 0.0000
0.5000 0.0000 0.0000
0.5000 0.5000 0.5000
0.0000 0.0000 0.0000
```

Results
As for the total energy: -17.96 eV for the cell shown. The total moment comes out at 4.9 μB/cell. Its energy above the most stable polymorph in this dataset is 0.000 eV per atom. As for the crystal system: cubic.